Computed, not measured: a relaxed LaMnW2 crystal at the PBE level of DFT.

Structure (POSCAR):
```
LaMnW2
1.0
3.2173 0.0000 0.0000
0.0000 4.7704 0.0000
0.0000 0.0000 9.5165
La Mn W
2 2 4
Direct
0.0000 0.0000 0.0000
0.5000 0.5000 0.0000
0.0000 0.5000 0.7203
0.5000 0.0000 0.7203
0.0000 0.0000 0.5149
0.0000 0.5000 0.2907
0.5000 0.0000 0.2907
0.5000 0.5000 0.5149
```

Output
energy relative to the elements: 0.531 eV per atom
polymorph energy (0 for the lowest one): 129 meV per atom
space-group type: Cmm2, No. 35